(i)
SiP2RhS, relaxed, DFT PBE; space-group type = P4/mmm, No. 123; M_tot = 0.00 μB per cell; DOS at the Fermi energy = 3.915 states/eV/f.u.
1.0
4.445 0.000 0.000
0.000 4.445 0.000
0.000 0.000 5.099
Si P Rh S
1 2 1 1
direct
0.000 0.000 0.000
0.000 0.500 0.500
0.500 0.000 0.500
0.500 0.500 0.500
0.500 0.500 0.000


(ii)
SiP2RhS, relaxed, DFT PBE; space-group type = P4/mmm, No. 123; M_tot = 0.00 μB per cell; DOS at the Fermi energy = 3.196 states/eV/f.u.
1.0
4.411 0.000 0.000
0.000 4.411 0.000
0.000 0.000 4.643
Si P Rh S
1 2 1 1
direct
0.000 0.000 0.000
0.000 0.500 0.000
0.500 0.000 0.000
0.000 0.000 0.500
0.500 0.500 0.500


Most stable: (i). Least stable: (ii).


(i)
SnPRhS2, relaxed, DFT PBE; space-group type = P4/mmm, No. 123; M_tot = 0.00 μB per cell; DOS at the Fermi energy = 3.764 states/eV/f.u.
1.0
4.956 0.000 0.000
0.000 4.956 0.000
0.000 0.000 4.323
Sn P Rh S
1 1 1 2
direct
0.000 0.000 0.000
0.500 0.500 0.000
0.500 0.500 0.500
0.000 0.500 0.500
0.500 0.000 0.500


(ii)
SnPRhS2, relaxed, DFT PBE; space-group type = P4/mmm, No. 123; M_tot = 1.77 μB per cell; DOS at the Fermi energy = 6.494 states/eV/f.u.
1.0
4.903 0.000 0.000
0.000 4.903 0.000
0.000 0.000 4.996
Sn P Rh S
1 1 1 2
direct
0.000 0.000 0.000
0.000 0.000 0.500
0.500 0.500 0.500
0.000 0.500 0.000
0.500 0.000 0.000


Most stable: (i). Least stable: (ii).


(i)
SrP2RhS, relaxed, DFT PBE; space-group type = P4/mmm, No. 123; M_tot = 0.25 μB per cell; DOS at the Fermi energy = 9.637 states/eV/f.u.
1.0
5.360 0.000 0.000
0.000 5.360 0.000
0.000 0.000 5.280
Sr P Rh S
1 2 1 1
direct
0.000 0.000 0.000
0.000 0.500 0.000
0.500 0.000 0.000
0.500 0.500 0.500
0.000 0.000 0.500


(ii)
SrP2RhS, relaxed, DFT PBE; space-group type = P4/mmm, No. 123; M_tot = 0.00 μB per cell; DOS at the Fermi energy = 2.535 states/eV/f.u.
1.0
4.512 0.000 0.000
0.000 4.512 0.000
0.000 0.000 5.429
Sr P Rh S
1 2 1 1
direct
0.000 0.000 0.000
0.000 0.500 0.500
0.500 0.000 0.500
0.500 0.500 0.500
0.500 0.500 0.000


Most stable: (ii). Least stable: (i).


(i)
SrPRhS2, relaxed, DFT PBE; space-group type = P4/mmm, No. 123; M_tot = 0.00 μB per cell; DOS at the Fermi energy = 2.334 states/eV/f.u.
1.0
5.033 0.000 0.000
0.000 5.033 0.000
0.000 0.000 4.323
Sr P Rh S
1 1 1 2
direct
0.000 0.000 0.000
0.500 0.500 0.000
0.500 0.500 0.500
0.000 0.500 0.500
0.500 0.000 0.500


(ii)
SrPRhS2, relaxed, DFT PBE; space-group type = P4/mmm, No. 123; M_tot = 3.16 μB per cell; DOS at the Fermi energy = 10.137 states/eV/f.u.
1.0
5.407 0.000 0.000
0.000 5.407 0.000
0.000 0.000 5.461
Sr P Rh S
1 1 1 2
direct
0.000 0.000 0.000
0.000 0.000 0.500
0.500 0.500 0.500
0.000 0.500 0.000
0.500 0.000 0.000


Most stable: (i). Least stable: (ii).


(i)
TaPRhS2, relaxed, DFT PBE; space-group type = P4/mmm, No. 123; M_tot = 1.63 μB per cell; DOS at the Fermi energy = 6.450 states/eV/f.u.
1.0
4.697 0.000 0.000
0.000 4.697 0.000
0.000 0.000 4.871
Ta P Rh S
1 1 1 2
direct
0.000 0.000 0.000
0.000 0.000 0.500
0.500 0.500 0.500
0.000 0.500 0.000
0.500 0.000 0.000


(ii)
TaPRhS2, relaxed, DFT PBE; space-group type = P4/mmm, No. 123; M_tot = 0.00 μB per cell; DOS at the Fermi energy = 4.452 states/eV/f.u.
1.0
4.541 0.000 0.000
0.000 4.541 0.000
0.000 0.000 4.488
Ta P Rh S
1 1 1 2
direct
0.000 0.000 0.000
0.500 0.500 0.000
0.500 0.500 0.500
0.000 0.500 0.500
0.500 0.000 0.500


Most stable: (i). Least stable: (ii).


(i)
TiP2RhS, relaxed, DFT PBE; space-group type = P4/mmm, No. 123; M_tot = 1.74 μB per cell; DOS at the Fermi energy = 5.732 states/eV/f.u.
1.0
4.455 0.000 0.000
0.000 4.455 0.000
0.000 0.000 4.935
Ti P Rh S
1 2 1 1
direct
0.000 0.000 0.000
0.000 0.500 0.500
0.500 0.000 0.500
0.500 0.500 0.500
0.500 0.500 0.000


(ii)
TiP2RhS, relaxed, DFT PBE; space-group type = P4/mmm, No. 123; M_tot = 0.49 μB per cell; DOS at the Fermi energy = 4.478 states/eV/f.u.
1.0
4.649 0.000 0.000
0.000 4.649 0.000
0.000 0.000 4.525
Ti P Rh S
1 2 1 1
direct
0.000 0.000 0.000
0.000 0.500 0.000
0.500 0.000 0.000
0.500 0.500 0.500
0.000 0.000 0.500


Most stable: (i). Least stable: (ii).


(i)
TlP2RhS, relaxed, DFT PBE; space-group type = P4/mmm, No. 123; M_tot = 0.00 μB per cell; DOS at the Fermi energy = 5.064 states/eV/f.u.
1.0
4.525 0.000 0.000
0.000 4.525 0.000
0.000 0.000 5.310
Tl P Rh S
1 2 1 1
direct
0.000 0.000 0.000
0.000 0.500 0.500
0.500 0.000 0.500
0.500 0.500 0.500
0.500 0.500 0.000


(ii)
TlP2RhS, relaxed, DFT PBE; space-group type = P4/mmm, No. 123; M_tot = 0.57 μB per cell; DOS at the Fermi energy = 6.418 states/eV/f.u.
1.0
5.018 0.000 0.000
0.000 5.018 0.000
0.000 0.000 5.028
Tl P Rh S
1 2 1 1
direct
0.000 0.000 0.000
0.000 0.500 0.000
0.500 0.000 0.000
0.500 0.500 0.500
0.000 0.000 0.500


Most stable: (i). Least stable: (ii).


(i)
TlPRhS2, relaxed, DFT PBE; space-group type = P4/mmm, No. 123; M_tot = 0.00 μB per cell; DOS at the Fermi energy = 5.485 states/eV/f.u.
1.0
4.975 0.000 0.000
0.000 4.975 0.000
0.000 0.000 4.376
Tl P Rh S
1 1 1 2
direct
0.000 0.000 0.000
0.500 0.500 0.000
0.500 0.500 0.500
0.000 0.500 0.500
0.500 0.000 0.500


(ii)
TlPRhS2, relaxed, DFT PBE; space-group type = P4/mmm, No. 123; M_tot = 1.82 μB per cell; DOS at the Fermi energy = 8.487 states/eV/f.u.
1.0
5.052 0.000 0.000
0.000 5.052 0.000
0.000 0.000 5.055
Tl P Rh S
1 1 1 2
direct
0.000 0.000 0.000
0.000 0.000 0.500
0.500 0.500 0.500
0.000 0.500 0.000
0.500 0.000 0.000


Most stable: (i). Least stable: (ii).